Material: LiReNiAs
Method: DFT, PBE-GGA
State: optimized geometry

Summary:
- electronic total energy (eV for the cell shown) = -22.50
- M_tot (μB per formula unit) = 1.4

Geometry as CIF:
```
data_LiReNiAs
_chemical_formula_sum 'Li1 Re1 Ni1 As1'
_symmetry_space_group_name_H-M 'P 1'
_symmetry_Int_Tables_number 1
_cell_length_a 4.228
_cell_length_b 4.228
_cell_length_c 4.228
_cell_angle_alpha 60.00
_cell_angle_beta 60.00
_cell_angle_gamma 60.00
loop_
_symmetry_equiv_pos_as_xyz
'x,y,z'
loop_
_atom_site_label
_atom_site_fract_x
_atom_site_fract_y
_atom_site_fract_z
_atom_site_occupancy
Re1 0.500 0.500 0.500 1
Ni1 0.750 0.750 0.750 1
Li1 0.250 0.250 0.250 1
As1 0.000 0.000 0.000 1
```